VASP calculation (PBE-GGA) on crystalline DyErTe at its relaxed geometry.

a = 8.1949 Å, b = 3.9334 Å, c = 10.5545 Å
α = 90.00°, β = 90.00°, γ = 90.00°
Closest atoms and distances in Å follow each position.
Space group Pnma (No. 62)
Unique sites:
Dy1 0.0030 0.2500 0.1600 [4 per cell]  4 Te 3.13-3.15
Er1 0.1556 0.2500 0.5553 [4 per cell]  4 Te 3.11-3.18, 2 Er 3.43
Te1 0.2033 0.7500 0.3306 [4 per cell]  4 Er 3.11-3.18, 4 Dy 3.13-3.15

## Properties
Excess energy over the best structure of this formula in the dataset = 0 meV/atom

---

VASP calculation (PBE-GGA) on crystalline ZrReSe2 at its relaxed geometry.

a = 4.1392 Å, b = 4.1392 Å, c = 8.3845 Å
α = 90.00°, β = 90.00°, γ = 90.00°
Closest atoms and distances in Å follow each position.
Space group I-4m2 (No. 119)
Unique sites:
Zr1 0.0000 0.0000 0.0000 [2 per cell]  8 Se 2.93-2.95, 4 Re 2.95
Re1 0.0000 0.5000 0.7500 [2 per cell]  8 Se 2.93-2.95, 4 Zr 2.95
Se1 0.0000 0.0000 0.5000 [2 per cell]  4 Zr 2.93, 4 Se 2.95, 4 Re 2.95
Se2 0.0000 0.5000 0.2500 [2 per cell]  4 Re 2.93, 4 Zr 2.95, 4 Se 2.95

## Properties
Excess energy over the best structure of this formula in the dataset = 556 meV/atom

---

VASP calculation (PBE-GGA) on crystalline PaCu2Pd at its relaxed geometry.

a = 4.3111 Å, b = 9.2935 Å, c = 7.1600 Å
α = 90.00°, β = 90.00°, γ = 90.00°
Closest atoms and distances in Å follow each position.
Space group Cmcm (No. 63)
Unique sites:
Pa1 0.0000 0.0628 0.2500 [4 per cell]  3 Pd 2.76-2.92, 6 Cu 2.97-3.00
Cu1 0.0000 0.2534 0.5824 [8 per cell]  3 Cu 2.40-2.46, 1 Pd 2.64
Pd1 0.0000 0.3769 0.2500 [4 per cell]  6 Cu 2.64-2.75, 3 Pa 2.76-2.92

## Properties
Energy of formation = -0.074 eV/atom
Excess energy over the best structure of this formula in the dataset = 189 meV/atom

---

VASP calculation (PBE-GGA) on crystalline Na2PmAgI6 at its relaxed geometry.

a = 7.9588 Å, b = 7.9601 Å, c = 8.8775 Å
α = 90.06°, β = 116.57°, γ = 119.99°
Closest atoms and distances in Å follow each position.
Space group P1 (No. 1)
Unique sites:
Na1 0.0000 0.0000 0.0000 [1 per cell]  6 I 3.19-3.30
Na2 0.0317 0.5155 0.5468 [1 per cell]  6 I 3.18-3.38
Pm1 0.6412 0.3213 0.9618 [1 per cell]  6 I 3.03-3.23
Ag1 0.4783 0.7403 0.2169 [1 per cell]  3 I 2.79
I1 0.1321 0.4110 0.2403 [1 per cell]  1 Ag 2.79
I2 0.1710 0.2399 0.7573 [1 per cell]  1 Pm 3.04, 2 Na 3.18-3.19
I3 0.5175 0.9317 0.7577 [1 per cell]  1 Pm 3.03, 2 Na 3.18-3.19
I4 0.5188 0.1097 0.2410 [1 per cell]  1 Ag 2.79
I5 0.8244 0.5861 0.7562 [1 per cell]  1 Pm 3.04, 2 Na 3.19
I6 0.8307 0.7227 0.2407 [1 per cell]  1 Ag 2.79

## Properties
Energy = -3.055 eV per atom

---

VASP calculation (PBE-GGA) on crystalline La2MnP3Pt12 at its relaxed geometry.

a = 8.2196 Å, b = 8.2196 Å, c = 18.3390 Å
α = 90.00°, β = 90.00°, γ = 120.00°
Closest atoms and distances in Å follow each position.
Space group R-3m (No. 166, hexagonal axes)
Unique sites:
La1 0.0000 0.0000 0.1140 [6 per cell]  6 Pt 2.95-3.06
Mn1 0.0000 0.0000 0.5000 [3 per cell]  6 Pt 2.48
P1 0.0000 0.5000 0.0000 [9 per cell]  6 Pt 2.29-2.31
Pt1 0.0020 0.5010 0.1249 [18 per cell]  1 P 2.29, 1 Mn 2.48
Pt2 0.0371 0.5185 0.3622 [18 per cell]  2 P 2.31

## Properties
Energy of formation = -0.459 eV/atom

---

VASP calculation (PBE-GGA) on crystalline Tb3Ho4Tl at its relaxed geometry.

a = 11.1728 Å, b = 7.0177 Å, c = 6.1655 Å
α = 90.00°, β = 90.00°, γ = 90.00°
Closest atoms and distances in Å follow each position.
Space group Pmn2_1 (No. 31)
Unique sites:
Tb1 0.0000 0.1302 0.0000 [2 per cell]  6 Ho 3.34-3.72, 4 Tb 3.41-3.52, 2 Tl 3.47-3.68
Tb2 0.2402 0.1159 0.3417 [4 per cell]  2 Tl 3.37-3.52, 4 Tb 3.41-3.52, 6 Ho 3.45-3.68
Ho1 0.0000 0.3753 0.5351 [2 per cell]  4 Tb 3.34-3.72, 6 Ho 3.38-3.70, 2 Tl 3.49-3.53
Ho2 0.0000 0.6297 0.0087 [2 per cell]  6 Ho 3.42-3.70, 2 Tl 3.46-3.59, 4 Tb 3.51-3.56
Ho3 0.2393 0.6251 0.3598 [4 per cell]  1 Tl 3.34, 6 Ho 3.38-3.56, 5 Tb 3.45-3.68
Tl1 0.0000 0.8726 0.5203 [2 per cell]  6 Ho 3.34-3.59, 6 Tb 3.37-3.68

## Properties
Energy of formation = -0.073 eV/atom
Excess energy over the best structure of this formula in the dataset = 0 meV/atom

---

VASP calculation (PBE-GGA) on crystalline NbCrHOs2 at its relaxed geometry.

a = 3.9450 Å, b = 3.9450 Å, c = 3.9085 Å
α = 90.00°, β = 90.00°, γ = 90.00°
Closest atoms and distances in Å follow each position.
Space group P4/mmm (No. 123)
Unique sites:
Nb1 0.0000 0.0000 0.0000 [1 per cell]  8 Os 2.78, 4 Cr 2.79
Cr1 0.5000 0.5000 0.0000 [1 per cell]  2 H 1.95
H1 0.5000 0.5000 0.5000 [1 per cell]  2 Cr 1.95, 4 Os 1.97
Os1 0.0000 0.5000 0.5000 [2 per cell]  2 H 1.97

## Properties
Energy = -9.045 eV per atom

---

VASP calculation (PBE-GGA) on crystalline Y3GaSn2 at its relaxed geometry.

a = 12.2261 Å, b = 4.4109 Å, c = 11.8756 Å
α = 90.00°, β = 90.00°, γ = 90.00°
Closest atoms and distances in Å follow each position.
Space group Pnma (No. 62)
Unique sites:
Y1 0.0510 0.2500 0.1221 [4 per cell]  1 Ga 3.06, 5 Sn 3.09-3.28
Y2 0.1239 0.7500 0.5575 [4 per cell]  5 Sn 3.15-3.27, 3 Ga 3.17-3.27
Y3 0.2193 0.2500 0.7952 [4 per cell]  2 Ga 2.97, 1 Sn 3.04
Ga1 0.1328 0.2500 0.3660 [4 per cell]  3 Sn 2.76-2.77, 3 Y 2.97-3.06
Sn1 0.0071 0.7500 0.3097 [4 per cell]  2 Ga 2.77, 1 Y 3.04
Sn2 0.1869 0.7500 0.0057 [4 per cell]  1 Ga 2.76, 2 Y 3.09

## Properties
Energy of formation = -0.686 eV/atom